The following is a PBE calculation of a relaxed structure of Mn4TeOs, from the Alexandria database.

Results
As for the formation energy without anion corrections: 3.0 eV per formula unit. As for the density of states at the Fermi level: 9.04 states/eV/f.u. The total magnetic moment is 33.56 Bohr magnetons per cell.

a b c (Å): 6.9003 6.9003 6.9003
angles (deg): 90.00 90.00 90.00
With the nearest neighbours (Å) after each atom.
Space group F-43m (No. 216)
One atom of each set of equivalent atoms:
Mn: 0.1236 0.1236 0.3764 x16  6 Mn 2.41-2.47
Te: 0.0000 0.0000 0.0000 x4  12 Mn 2.86, 4 Os 2.99
Os: 0.2500 0.2500 0.7500 x4  12 Mn 2.86, 4 Te 2.99